1.
## Sm5Mg2Sn (GGA-PBE)

Data for crystalline Sm5Mg2Sn at its relaxed geometry.

Structure (POSCAR):
```
Sm5Mg2Sn
1.0
-4.310 4.310 6.494
4.310 -4.310 6.494
4.310 4.310 -6.494
Sm Mg Sn
10 4 2
Cartesian
0.000 0.000 0.000
2.968 -1.343 2.032
5.653 -1.343 4.463
5.653 1.343 2.032
2.968 1.343 4.463
0.000 0.000 6.494
1.343 2.968 2.032
-1.343 2.968 4.463
-1.343 5.653 2.032
1.343 5.653 4.463
3.124 1.186 0.000
3.124 -1.186 6.494
1.186 5.497 0.000
1.186 3.124 6.494
0.000 0.000 3.247
0.000 0.000 9.741
```

Computed properties:
calculated total energy	-32.19	eV/f.u.
DFT formation energy	-175.7	meV/atom

2.
## SmMgSn2 (GGA-PBE)

Data for crystalline SmMgSn2 at its relaxed geometry.

Structure (POSCAR):
```
SmMgSn2
1.0
0.000 3.757 3.757
3.757 0.000 3.757
3.757 3.757 0.000
Sm Mg Sn
1 1 2
Cartesian
0.000 0.000 0.000
3.757 3.757 3.757
1.878 1.878 1.878
5.635 5.635 5.635
```

Computed properties:
calculated total energy	-15.64	eV/f.u.
DFT formation energy	-331.1	meV/atom

3.
## Sm2Mg2Sn3 (GGA-PBE)

Data for crystalline Sm2Mg2Sn3 at its relaxed geometry.

Structure (POSCAR):
```
Sm2Mg2Sn3
1.0
8.262 -2.361 0.000
8.262 2.361 0.000
-7.628 0.000 9.980
Sm Mg Sn
4 4 6
Cartesian
-2.019 0.000 4.250
-2.455 0.000 8.278
11.350 0.000 1.702
10.914 0.000 5.730
0.304 0.000 1.745
6.091 0.000 1.809
2.804 0.000 8.171
8.591 0.000 8.235
-5.291 0.000 9.699
0.385 0.000 6.412
3.785 0.000 3.705
5.110 0.000 6.275
8.511 0.000 3.568
14.186 0.000 0.281
```

Computed properties:
calculated total energy	-28.12	eV/f.u.
DFT formation energy	-497.2	meV/atom

4.
## Sm8MgSn6 (GGA-PBE)

Data for crystalline Sm8MgSn6 at its relaxed geometry.

Structure (POSCAR):
```
Sm8MgSn6
1.0
4.673 2.698 6.409
-4.673 2.698 6.409
0.000 -5.396 6.409
Sm Mg Sn
8 1 6
Cartesian
-1.319 -2.388 7.742
0.000 0.000 3.227
-2.728 -0.051 11.484
-1.408 2.337 7.742
1.408 -2.337 11.484
2.728 0.051 7.742
0.000 0.000 15.999
1.319 2.388 11.484
0.000 0.000 9.613
-3.386 -0.029 8.231
-1.668 -2.947 10.995
1.718 -2.918 8.231
-1.718 2.918 10.995
1.668 2.947 8.231
3.386 0.029 10.995
```

Computed properties:
calculated total energy	-71.55	eV/f.u.
DFT formation energy	-545.4	meV/atom

5.
## Sm5Mg2Sn4 (GGA-PBE)

Data for crystalline Sm5Mg2Sn4 at its relaxed geometry.

Structure (POSCAR):
```
Sm5Mg2Sn4
1.0
10.813 -2.199 0.000
10.813 2.199 0.000
-2.714 0.000 7.174
Sm Mg Sn
5 2 4
Cartesian
0.000 0.000 0.000
7.138 0.000 0.527
5.693 0.000 4.337
13.218 0.000 2.837
11.773 0.000 6.647
0.035 0.000 4.119
18.877 0.000 3.054
2.658 0.000 5.111
10.009 0.000 2.132
8.902 0.000 5.042
16.254 0.000 2.063
```

Computed properties:
calculated total energy	-46.69	eV/f.u.
DFT formation energy	-354.2	meV/atom

6.
## Sm5MgSn4 (GGA-PBE)

Data for crystalline Sm5MgSn4 at its relaxed geometry.

Structure (POSCAR):
```
Sm5MgSn4
1.0
8.713 -2.244 0.000
8.713 2.244 0.000
-1.101 0.000 7.785
Sm Mg Sn
5 1 4
Cartesian
0.000 0.000 0.000
4.083 0.000 6.578
6.124 0.000 2.434
10.201 0.000 5.352
12.242 0.000 1.208
-0.551 0.000 3.893
2.735 0.000 3.361
7.047 0.000 5.583
9.278 0.000 2.202
13.589 0.000 4.424
```

Computed properties:
calculated total energy	-44.97	eV/f.u.
DFT formation energy	-376.7	meV/atom